A relaxed SiTcPb2 crystal. Source: the Open Quantum Materials Database, functional PBE.

Properties
Total energy: -4.9428 eV per atom
Magnetic moment: 0.97 μB per formula unit

Cell lengths 4.9552, 4.9552, 4.9552 Å; angles 60.00, 60.00, 60.00 degrees
Each line ends with the local moment (μB).
Atoms (fractional coordinates):
Pb 0.5000 0.5000 0.5000  -0.01
Pb 0.2500 0.2500 0.2500  0.00
Si 0.7500 0.7500 0.7500  -0.01
Tc 0.0000 0.0000 0.0000  0.85

---

A relaxed SiPbW crystal. Source: the Open Quantum Materials Database, functional PBE.

Properties
Total energy: -6.3005 eV per atom
Magnetic moment: 0.00 μB per formula unit

Cell lengths 4.4320, 4.4320, 4.4320 Å; angles 60.00, 60.00, 60.00 degrees
Atoms (fractional coordinates):
Si 0.0000 0.0000 0.0000
Pb 0.2500 0.2500 0.2500
W 0.7500 0.7500 0.7500

---

A relaxed ZnSi2Pb crystal. Source: the Open Quantum Materials Database, functional PBE.

Properties
Total energy: -3.3840 eV per atom

Cell lengths 4.8394, 4.8394, 4.8394 Å; angles 60.00, 60.00, 60.00 degrees
Atoms (fractional coordinates):
Si 0.0000 0.0000 0.0000
Si 0.2500 0.2500 0.2500
Pb 0.7500 0.7500 0.7500
Zn 0.5000 0.5000 0.5000

---

A relaxed ZnSiPb crystal. Source: the Open Quantum Materials Database, functional PBE.

Properties
Total energy: -2.8659 eV per atom
Energy above the most stable polymorph in this dataset: 236 meV/atom

Cell lengths 4.7739, 4.7739, 4.7739 Å; angles 60.00, 60.00, 60.00 degrees
Atoms (fractional coordinates):
Pb 0.0000 0.0000 0.0000
Si 0.2500 0.2500 0.2500
Zn 0.7500 0.7500 0.7500

---

A relaxed ZnSiPb crystal. Source: the Open Quantum Materials Database, functional PBE.

Properties
Total energy: -3.1017 eV per atom
Energy above the most stable polymorph in this dataset: 0 meV/atom

Cell lengths 4.6839, 4.6839, 4.6839 Å; angles 60.00, 60.00, 60.00 degrees
Atoms (fractional coordinates):
Pb 0.2500 0.2500 0.2500
Zn 0.7500 0.7500 0.7500
Si 0.0000 0.0000 0.0000

---

A relaxed ZrSi2Pb crystal. Source: the Open Quantum Materials Database, functional PBE.

Properties
Total energy: -5.2692 eV per atom
Magnetic moment: 0.00 μB per formula unit

Cell lengths 4.9234, 4.9234, 4.9234 Å; angles 60.00, 60.00, 60.00 degrees
Atoms (fractional coordinates):
Si 0.7500 0.7500 0.7500
Si 0.5000 0.5000 0.5000
Zr 0.2500 0.2500 0.2500
Pb 0.0000 0.0000 0.0000

---

A relaxed Zr5SiPb3 crystal. Source: the Open Quantum Materials Database, functional PBE.

Properties
Total energy: -7.0499 eV per atom
Magnetic moment: 0.01 μB per formula unit

Cell lengths 8.8005, 8.8005, 5.9528 Å; angles 90.00, 90.00, 120.00 degrees
Atoms (fractional coordinates):
Pb 0.6061 0.0000 0.2500
Pb 0.6061 0.6061 0.7500
Pb 0.3939 0.3939 0.2500
Pb 0.3939 0.0000 0.7500
Pb 0.0000 0.3939 0.7500
Pb 0.0000 0.6061 0.2500
Si 0.0000 0.0000 0.5000
Si 0.0000 0.0000 0.0000
Zr 0.7457 0.7457 0.2500
Zr 0.0000 0.7457 0.7500
Zr 0.0000 0.2543 0.2500
Zr 0.3333 0.6667 0.5000
Zr 0.6667 0.3333 0.0000
Zr 0.2543 0.2543 0.7500
Zr 0.7457 0.0000 0.7500
Zr 0.2543 0.0000 0.2500
Zr 0.6667 0.3333 0.5000
Zr 0.3333 0.6667 0.0000

---

A relaxed Sm5Pb3 crystal. Source: the Open Quantum Materials Database, functional PBE.

Properties
Total energy: -4.8874 eV per atom
Magnetic moment: 0.00 μB per formula unit

Cell lengths 9.2666, 9.2666, 6.8187 Å; angles 90.00, 90.00, 119.99 degrees
Atoms (fractional coordinates):
Pb 0.0000 0.6054 0.2500
Pb 0.0000 0.3946 0.7500
Pb 0.3945 0.3945 0.2500
Pb 0.6054 0.0000 0.2500
Pb 0.6055 0.6055 0.7500
Pb 0.3946 0.0000 0.7500
Sm 0.0000 0.7604 0.7501
Sm 0.7604 0.0000 0.7501
Sm 0.2396 0.0000 0.2501
Sm 0.6667 0.3334 0.5000
Sm 0.2397 0.2397 0.7500
Sm 0.6666 0.3333 0.0000
Sm 0.3333 0.6666 0.0000
Sm 0.7603 0.7603 0.2500
Sm 0.0000 0.2396 0.2501
Sm 0.3334 0.6667 0.5000

---

- Number 1 is which compound?
  SiTcPb2